Here is a relaxed Tb12Pt3O5 crystal from Alexandria via LeMat-Bulk. Energies are from PBE.

Uncorrected energy: -133.86 eV per formula unit
Space group: Ia-3d
Total magnetic moment: 0.137 μB per atom
Formation energy without anion corrections: -1769 meV per atom

a = 13.2257 Å, b = 13.2257 Å, c = 13.2257 Å
α = 109.47°, β = 109.47°, γ = 109.47°
With the nearest neighbours (Å) after each atom.
Fractional coordinates of all 80 atoms:
Tb (0.0210, 0.2063, 0.1166)  1 O 2.22
Tb (0.0210, 0.3147, 0.9044)  1 O 2.22
Tb (0.0897, 0.7063, 0.6853)  1 O 2.22
Tb (0.0897, 0.8834, 0.4044)  1 O 2.22
Tb (0.0956, 0.6166, 0.4103)  1 O 2.22
Tb (0.0956, 0.9790, 0.6853)  1 O 2.22
Tb (0.1166, 0.0210, 0.2063)  1 O 2.22
Tb (0.1166, 0.5956, 0.9103)  1 O 2.22
Tb (0.1853, 0.2063, 0.5897)  1 O 2.22
Tb (0.1853, 0.4790, 0.5956)  1 O 2.22
Tb (0.2063, 0.1166, 0.0210)  1 O 2.22
Tb (0.2063, 0.5897, 0.1853)  1 O 2.22
Tb (0.2937, 0.3147, 0.9103)  1 O 2.22
Tb (0.2937, 0.4790, 0.3834)  1 O 2.22
Tb (0.3147, 0.9044, 0.0210)  1 O 2.22
Tb (0.3147, 0.9103, 0.2937)  1 O 2.22
Tb (0.3834, 0.2937, 0.4790)  1 O 2.22
Tb (0.3834, 0.5897, 0.9044)  1 O 2.22
Tb (0.4044, 0.0897, 0.8834)  1 O 2.22
Tb (0.4044, 0.8147, 0.5210)  1 O 2.22
Tb (0.4103, 0.0956, 0.6166)  1 O 2.22
Tb (0.4103, 0.8147, 0.7937)  1 O 2.22
Tb (0.4790, 0.3834, 0.2937)  1 O 2.22
Tb (0.4790, 0.5956, 0.1853)  1 O 2.22
Tb (0.5210, 0.4044, 0.8147)  1 O 2.22
Tb (0.5210, 0.6166, 0.7063)  1 O 2.22
Tb (0.5897, 0.1853, 0.2063)  1 O 2.22
Tb (0.5897, 0.9044, 0.3834)  1 O 2.22
Tb (0.5956, 0.1853, 0.4790)  1 O 2.22
Tb (0.5956, 0.9103, 0.1166)  1 O 2.22
Tb (0.6166, 0.4103, 0.0956)  1 O 2.22
Tb (0.6166, 0.7063, 0.5210)  1 O 2.22
Tb (0.6853, 0.0897, 0.7063)  1 O 2.22
Tb (0.6853, 0.0956, 0.9790)  1 O 2.22
Tb (0.7063, 0.5210, 0.6166)  1 O 2.22
Tb (0.7063, 0.6853, 0.0897)  1 O 2.22
Tb (0.7937, 0.4103, 0.8147)  1 O 2.22
Tb (0.7937, 0.8834, 0.9790)  1 O 2.22
Tb (0.8147, 0.5210, 0.4044)  1 O 2.22
Tb (0.8147, 0.7937, 0.4103)  1 O 2.22
Tb (0.8834, 0.4044, 0.0897)  1 O 2.22
Tb (0.8834, 0.9790, 0.7937)  1 O 2.22
Tb (0.9044, 0.0210, 0.3147)  1 O 2.22
Tb (0.9044, 0.3834, 0.5897)  1 O 2.22
Tb (0.9103, 0.1166, 0.5956)  1 O 2.22
Tb (0.9103, 0.2937, 0.3147)  1 O 2.22
Tb (0.9790, 0.6853, 0.0956)  1 O 2.22
Tb (0.9790, 0.7937, 0.8834)  1 O 2.22
Pt (0.1250, 0.2500, 0.3750)  8 Tb 2.99-3.04
Pt (0.1250, 0.3750, 0.7500)  8 Tb 2.99-3.04
Pt (0.2500, 0.3750, 0.1250)  8 Tb 2.99-3.04
Pt (0.2500, 0.8750, 0.6250)  8 Tb 2.99-3.04
Pt (0.3750, 0.1250, 0.2500)  8 Tb 2.99-3.04
Pt (0.3750, 0.7500, 0.1250)  8 Tb 2.99-3.04
Pt (0.6250, 0.2500, 0.8750)  8 Tb 2.99-3.04
Pt (0.6250, 0.8750, 0.7500)  8 Tb 2.99-3.04
Pt (0.7500, 0.1250, 0.3750)  8 Tb 2.99-3.04
Pt (0.7500, 0.6250, 0.8750)  8 Tb 2.99-3.04
Pt (0.8750, 0.6250, 0.2500)  8 Tb 2.99-3.04
Pt (0.8750, 0.7500, 0.6250)  8 Tb 2.99-3.04
O (0.0000, 0.0000, 0.0000)  6 Tb 2.51
O (0.0000, 0.0000, 0.5000)  6 Tb 2.51
O (0.0000, 0.5000, 0.0000)  6 Tb 2.51
O (0.0000, 0.5000, 0.5000)  6 Tb 2.51
O (0.1250, 0.7500, 0.8750)  4 Tb 2.22
O (0.1250, 0.8750, 0.2500)  4 Tb 2.22
O (0.2500, 0.1250, 0.8750)  4 Tb 2.22
O (0.2500, 0.6250, 0.3750)  4 Tb 2.22
O (0.3750, 0.2500, 0.6250)  4 Tb 2.22
O (0.3750, 0.6250, 0.7500)  4 Tb 2.22
O (0.5000, 0.0000, 0.0000)  6 Tb 2.51
O (0.5000, 0.0000, 0.5000)  6 Tb 2.51
O (0.5000, 0.5000, 0.0000)  6 Tb 2.51
O (0.5000, 0.5000, 0.5000)  6 Tb 2.51
O (0.6250, 0.3750, 0.2500)  4 Tb 2.22
O (0.6250, 0.7500, 0.3750)  4 Tb 2.22
O (0.7500, 0.3750, 0.6250)  4 Tb 2.22
O (0.7500, 0.8750, 0.1250)  4 Tb 2.22
O (0.8750, 0.1250, 0.7500)  4 Tb 2.22
O (0.8750, 0.2500, 0.1250)  4 Tb 2.22